{
  "formula": "CePmTmLu",
  "functional": "PBE-GGA",
  "state": "optimized geometry",
  "lattice_angstrom": [[-4.843, 0.420, -2.875], [-4.935, -0.156, 2.743], [-3.142, 4.673, 0.428]],
  "species": ["Lu", "Tm", "Ce", "Pm"],
  "fractional_positions": [[0.000, 0.000, 0.000], [0.250, 0.250, 0.250], [0.500, 0.500, 0.500], [0.750, 0.750, 0.750]],
  "magmom_total_mub_per_fu": 2.92,
  "volume_a3_per_cell": 127,
  "formation_energy_kj_per_mol_atoms": 18
}

***

{
  "formula": "NiHg2H2",
  "functional": "PBE-GGA",
  "state": "optimized geometry",
  "lattice_angstrom": [[-4.547, 0.792, 3.515], [2.884, -2.591, 4.316], [1.489, 3.538, 1.129]],
  "species": ["Ni", "Ni", "Hg", "Hg", "Hg", "Hg", "H", "H", "H", "H"],
  "fractional_positions": [[0.000, 0.000, 0.000], [0.500, 0.500, 0.000], [0.249, 0.749, 0.500], [0.749, 0.751, 0.500], [0.751, 0.251, 0.500], [0.251, 0.249, 0.500], [0.250, 0.750, 0.000], [0.750, 0.750, 0.000], [0.750, 0.250, 0.000], [0.250, 0.250, 0.000]],
  "magmom_total_mub_per_fu": 0.00,
  "volume_a3_per_cell": 135,
  "relative_energy_ev_per_atom": 0.058
}

***

{
  "formula": "Tl3Ni2AgBr9",
  "functional": "PBE-GGA",
  "state": "optimized geometry",
  "lattice_angstrom": [[-1.861, -7.055, 0.549], [6.773, 2.144, 1.750], [-2.630, 1.356, 8.518]],
  "species": ["Tl", "Tl", "Tl", "Ni", "Ni", "Ag", "Br", "Br", "Br", "Br", "Br", "Br", "Br", "Br", "Br"],
  "fractional_positions": [[0.333, 0.667, 0.672], [0.000, 0.000, 0.000], [0.667, 0.333, 0.328], [0.333, 0.667, 0.161], [0.667, 0.333, 0.839], [0.000, 0.000, 0.500], [0.826, 0.174, 0.682], [0.826, 0.652, 0.682], [0.348, 0.174, 0.682], [0.652, 0.826, 0.318], [0.174, 0.348, 0.318], [0.174, 0.826, 0.318], [0.500, 0.000, 0.000], [0.000, 0.500, 0.000], [0.500, 0.500, 0.000]],
  "magmom_total_mub_per_fu": 0.12,
  "e_form_raw_ev_per_atom": -0.475,
  "volume_a3_per_cell": 418
}

***

{
  "formula": "BaMgIn2",
  "functional": "PBE-GGA",
  "state": "optimized geometry",
  "lattice_angstrom": [[-3.554, -3.027, 1.486], [-0.884, -0.777, -3.696], [3.987, -5.561, -1.794]],
  "species": ["Ba", "In", "In", "Mg"],
  "fractional_positions": [[0.500, 0.789, 0.791], [0.000, 0.173, 0.026], [0.500, 0.049, 0.283], [0.000, 0.489, 0.400]],
  "magmom_total_mub_per_fu": 0.00,
  "volume_a3_per_cell": 129,
  "formation_energy_kj_per_mol_atoms": -20
}

***

{
  "formula": "Pm6TmTl2",
  "functional": "PBE-GGA",
  "state": "optimized geometry",
  "lattice_angstrom": [[3.759, 0.000, 0.597], [1.640, 6.348, 1.805], [0.017, 0.033, 12.031]],
  "species": ["Pm", "Pm", "Pm", "Pm", "Pm", "Pm", "Tm", "Tl", "Tl"],
  "fractional_positions": [[0.681, 0.514, 0.123], [0.319, 0.486, 0.877], [0.306, 0.796, 0.592], [0.982, 0.692, 0.344], [0.018, 0.308, 0.656], [0.694, 0.204, 0.408], [0.000, 0.000, 0.000], [0.364, 0.079, 0.194], [0.636, 0.921, 0.806]],
  "magmom_total_mub_per_fu": 0.00,
  "volume_a3_per_cell": 287,
  "formation_energy_kj_per_mol_atoms": -14
}

***

{
  "formula": "H3Pt",
  "functional": "PBE-GGA",
  "state": "optimized geometry",
  "lattice_angstrom": [[3.401, 0.001, 0.014], [-0.004, 3.401, 0.014], [-0.005, -0.005, 3.401]],
  "species": ["H", "H", "H", "Pt"],
  "fractional_positions": [[0.000, 0.500, 0.000], [0.000, 0.000, 0.500], [0.500, 0.000, 0.000], [0.000, 0.000, 0.000]],
  "magmom_total_mub_per_fu": 0.00,
  "volume_a3_per_cell": 39,
  "relative_energy_ev_per_atom": 0.000
}